# Al4AgW PBE-GGA optimized geometry
# Calculated volume (Å³ per atom): 15.88
# Energy of formation (kJ/mol of formula units): 146
# Density (g/cm³): 7.0
# Raw total energy (eV per atom): -4.876
# D(E_F) (states/eV/cell): 6.896
data_Al4AgW
_chemical_formula_sum 'Al4 Ag1 W1'
_cell_length_a 5.1269
_cell_length_b 5.1269
_cell_length_c 5.1269
_cell_angle_alpha 60.00
_cell_angle_beta 60.00
_cell_angle_gamma 60.00
_symmetry_space_group_name_H-M 'P 1'
_symmetry_Int_Tables_number 1
_symmetry_space_group_name_Hall 'P 1'
loop_
_atom_site_label
_atom_site_fract_x
_atom_site_fract_y
_atom_site_fract_z
Al1 0.1251 0.1251 0.1251
Al2 0.1251 0.1251 0.6248
Al3 0.1251 0.6248 0.1251
Al4 0.6248 0.1251 0.1251
Ag1 0.5000 0.5000 0.5000
W1 0.7500 0.7500 0.7500